1.
VASP calculation (PBE-GGA) on a relaxed structure of CdFe3Rh.

a = 4.631 Å, b = 4.631 Å, c = 4.631 Å
α = 90.00°, β = 90.00°, γ = 90.00°
Fractional positions:
1 Cd 0.500 0.500 0.500
2 Rh 0.000 0.000 0.000
3 Fe 0.500 0.000 0.000
4 Fe 0.000 0.000 0.500
5 Fe 0.000 0.500 0.000

V	19.86	A^3/atom
ΔE_f	1.046	eV per atom
relative energy among the computed polymorphs	0	meV per atom

---

2.
VASP calculation (PBE-GGA) on a relaxed structure of Cd2FeRh.

a = 5.250 Å, b = 5.250 Å, c = 4.756 Å
α = 69.99°, β = 69.99°, γ = 33.60°
Fractional positions:
1 Fe 0.479 0.479 0.506
2 Cd 0.236 0.236 0.277
3 Rh 0.773 0.773 0.744
4 Cd 0.012 0.012 0.973

V	16.94	A^3/atom
ΔE_f	0.107	eV per atom

---

3.
VASP calculation (PBE-GGA) on a relaxed structure of CdFe2Rh.

a = 8.779 Å, b = 8.779 Å, c = 8.779 Å
α = 18.47°, β = 18.47°, γ = 18.47°
Fractional positions:
1 Cd 0.749 0.749 0.749
2 Rh 0.508 0.508 0.508
3 Fe 0.991 0.991 0.991
4 Fe 0.252 0.252 0.252

V	14.83	A^3/atom
ΔE_f	0.169	eV per atom

---

4.
VASP calculation (PBE-GGA) on a relaxed structure of Cd2FeRh.

a = 4.873 Å, b = 4.873 Å, c = 2.970 Å
α = 90.00°, β = 90.00°, γ = 109.12°
Fractional positions:
1 Cd 0.500 0.500 0.000
2 Cd 0.000 0.000 0.000
3 Fe 0.500 0.000 0.500
4 Rh 0.000 0.500 0.500

V	16.66	A^3/atom
ΔE_f	0.168	eV per atom

---

5.
VASP calculation (PBE-GGA) on a relaxed structure of CdFe2Rh2.

a = 7.323 Å, b = 7.323 Å, c = 2.833 Å
α = 90.00°, β = 90.00°, γ = 90.00°
Fractional positions:
1 Rh 0.137 0.363 0.000
2 Rh 0.363 0.863 0.000
3 Cd 0.000 0.000 0.000
4 Fe 0.342 0.158 0.500
5 Rh 0.637 0.137 0.000
6 Rh 0.863 0.637 0.000
7 Fe 0.842 0.342 0.500
8 Fe 0.658 0.842 0.500
9 Cd 0.500 0.500 0.000
10 Fe 0.158 0.658 0.500

V	15.19	A^3/atom
ΔE_f	0.067	eV per atom
relative energy among the computed polymorphs	0	meV per atom

---

6.
VASP calculation (PBE-GGA) on a relaxed structure of Cd2FeRh.

a = 4.891 Å, b = 4.891 Å, c = 4.891 Å
α = 130.40°, β = 130.40°, γ = 72.76°
Fractional positions:
1 Fe 0.500 0.500 0.000
2 Cd 0.250 0.750 0.500
3 Cd 0.000 0.000 0.000
4 Rh 0.750 0.250 0.500

V	16.57	A^3/atom
ΔE_f	0.131	eV per atom

---

7.
VASP calculation (PBE-GGA) on a relaxed structure of Cd2FeRh.

a = 4.043 Å, b = 4.041 Å, c = 4.074 Å
α = 90.00°, β = 90.00°, γ = 90.00°
Fractional positions:
1 Cd 0.500 0.500 0.000
2 Fe 0.500 0.000 0.500
3 Cd 0.000 0.000 0.000
4 Rh 0.000 0.500 0.500

V	16.64	A^3/atom
ΔE_f	0.146	eV per atom

---

8.
VASP calculation (PBE-GGA) on a relaxed structure of CdFe2Rh.

a = 3.812 Å, b = 2.785 Å, c = 6.214 Å
α = 63.32°, β = 90.00°, γ = 90.00°
Fractional positions:
1 Cd 0.500 0.750 0.750
2 Rh 0.500 0.250 0.250
3 Fe 0.000 0.968 0.033
4 Fe 0.000 0.532 0.467

V	14.74	A^3/atom
ΔE_f	0.138	eV per atom

---

9.
VASP calculation (PBE-GGA) on a relaxed structure of CdFe2Rh.

a = 9.098 Å, b = 9.098 Å, c = 9.098 Å
α = 17.56°, β = 17.56°, γ = 17.56°
Fractional positions:
1 Cd 0.750 0.750 0.750
2 Fe 0.994 0.994 0.994
3 Rh 0.250 0.250 0.250
4 Fe 0.506 0.506 0.506

V	14.96	A^3/atom
ΔE_f	0.233	eV per atom

---

10.
VASP calculation (PBE-GGA) on a relaxed structure of CdFe2Rh.

a = 5.135 Å, b = 5.135 Å, c = 5.135 Å
α = 146.09°, β = 128.65°, γ = 62.97°
Fractional positions:
1 Rh 0.516 0.516 0.000
2 Fe 0.761 0.261 0.500
3 Fe 0.980 0.980 0.000
4 Cd 0.243 0.743 0.500

V	14.59	A^3/atom
ΔE_f	0.142	eV per atom

---

11.
VASP calculation (PBE-GGA) on a relaxed structure of CdFeRh2.

a = 3.906 Å, b = 2.784 Å, c = 6.256 Å
α = 63.67°, β = 90.00°, γ = 90.00°
Fractional positions:
1 Rh 0.000 0.015 0.984
2 Cd 0.000 0.505 0.496
3 Rh 0.500 0.266 0.234
4 Fe 0.500 0.714 0.786

V	15.24	A^3/atom
ΔE_f	0.082	eV per atom

---

12.
VASP calculation (PBE-GGA) on a relaxed structure of CdFeRh2.

a = 4.893 Å, b = 4.893 Å, c = 4.893 Å
α = 133.47°, β = 133.47°, γ = 67.92°
Fractional positions:
1 Cd 0.500 0.500 0.000
2 Fe 0.750 0.250 0.500
3 Rh 0.250 0.750 0.500
4 Rh 0.000 0.000 0.000

V	15.16	A^3/atom
ΔE_f	0.090	eV per atom